# 1
# FeSeCl4 PBE-GGA relaxed
# Formation energy without anion corrections (meV/atom): 1023
# DFT total energy (eV/atom): -2.200
# D(E_F) (states/eV/atom): 1.444
# Density (g/cm³): 3.4
data_FeSeCl4
_cell_length_a 8.146
_cell_length_b 8.146
_cell_length_c 8.146
_cell_angle_alpha 90.00
_cell_angle_beta 90.00
_cell_angle_gamma 90.00
_symmetry_space_group_name_H-M 'F -4 3 m'
_symmetry_Int_Tables_number 216
_symmetry_space_group_name_Hall 'F -4 2 3'
loop_
_atom_site_label
_atom_site_type_symbol
_atom_site_fract_x
_atom_site_fract_y
_atom_site_fract_z
_atom_site_occupancy
Fe1 Fe 0.000 0.000 0.000 1
Se1 Se 0.250 0.250 0.750 1
Cl1 Cl 0.126 0.126 0.374 1

---

# 2
# CoGe2Sb PBE-GGA relaxed
# Formation energy without anion corrections (meV/atom): 274
# DFT total energy (eV/atom): -4.842
# D(E_F) (states/eV/atom): 1.020
# Density (g/cm³): 5.7
data_CoGe2Sb
_cell_length_a 5.632
_cell_length_b 5.632
_cell_length_c 11.954
_cell_angle_alpha 90.00
_cell_angle_beta 90.00
_cell_angle_gamma 90.00
_symmetry_space_group_name_H-M 'I -4 2 d'
_symmetry_Int_Tables_number 122
_symmetry_space_group_name_Hall 'I -4 2bw'
loop_
_atom_site_label
_atom_site_type_symbol
_atom_site_fract_x
_atom_site_fract_y
_atom_site_fract_z
_atom_site_occupancy
Co1 Co 0.000 0.000 0.000 1
Ge1 Ge 0.174 0.250 0.125 1
Sb1 Sb 0.000 0.000 0.500 1

---

# 3
# CaDy2Ho PBE-GGA relaxed
# Excess energy over the best structure of this formula in the dataset (meV per atom): 0
# DFT total energy (eV/atom): -3.884
# D(E_F) (states/eV/atom): 1.338
# Energy of formation from the pure elements (eV/f.u.): 0.2
# Density (g/cm³): 6.6
data_CaDy2Ho
_cell_length_a 3.5816
_cell_length_b 3.5816
_cell_length_c 35.9843
_cell_angle_alpha 90.00
_cell_angle_beta 90.00
_cell_angle_gamma 120.00
_symmetry_space_group_name_H-M 'R 3 m'
_symmetry_Int_Tables_number 160
_symmetry_space_group_name_Hall 'R 3 -2"'
loop_
_atom_site_label
_atom_site_type_symbol
_atom_site_fract_x
_atom_site_fract_y
_atom_site_fract_z
_atom_site_occupancy
Ca1 Ca 0.0000 0.0000 0.0000 1
Dy1 Dy 0.0000 0.0000 0.2453 1
Dy2 Dy 0.0000 0.0000 0.4224 1
Ho1 Ho 0.0000 0.0000 0.8341 1

---

# 4
# AcHo2Pb PBE-GGA relaxed
# Excess energy over the best structure of this formula in the dataset (meV per atom): 0
# DFT total energy (eV/atom): -4.451
# D(E_F) (states/eV/atom): 1.645
# Energy of formation from the pure elements (eV/f.u.): -0.8
# Density (g/cm³): 10.0
data_AcHo2Pb
_cell_length_a 5.070
_cell_length_b 5.070
_cell_length_c 4.955
_cell_angle_alpha 90.00
_cell_angle_beta 90.00
_cell_angle_gamma 90.00
_symmetry_space_group_name_H-M 'P 4/m m m'
_symmetry_Int_Tables_number 123
_symmetry_space_group_name_Hall '-P 4 2'
loop_
_atom_site_label
_atom_site_type_symbol
_atom_site_fract_x
_atom_site_fract_y
_atom_site_fract_z
_atom_site_occupancy
Ac1 Ac 0.000 0.000 0.000 1
Ho1 Ho 0.000 0.500 0.500 1
Pb1 Pb 0.500 0.500 0.000 1

---

# 5
# KMg3Cl PBE-GGA relaxed
# Formation energy without anion corrections (meV/atom): 547
# Excess energy over the best structure of this formula in the dataset (meV per atom): 478
# DFT total energy (eV/atom): -0.998
# D(E_F) (states/eV/atom): 0.000
# Density (g/cm³): 0.8
data_KMg3Cl
_cell_length_a 6.712
_cell_length_b 6.712
_cell_length_c 6.712
_cell_angle_alpha 90.00
_cell_angle_beta 90.00
_cell_angle_gamma 90.00
_symmetry_space_group_name_H-M 'P m -3 m'
_symmetry_Int_Tables_number 221
_symmetry_space_group_name_Hall '-P 4 2 3'
loop_
_atom_site_label
_atom_site_type_symbol
_atom_site_fract_x
_atom_site_fract_y
_atom_site_fract_z
_atom_site_occupancy
K1 K 0.000 0.000 0.000 1
Mg1 Mg 0.000 0.000 0.500 1
Cl1 Cl 0.500 0.500 0.500 1

---

# 6
# PuFe2Si4Os PBE-GGA relaxed
# Formation energy without anion corrections (meV/atom): -383
# DFT total energy (eV/atom): -8.405
# D(E_F) (states/eV/atom): 1.524
# Density (g/cm³): 9.6
data_PuFe2Si4Os
_cell_length_a 3.9296
_cell_length_b 3.9296
_cell_length_c 25.6207
_cell_angle_alpha 90.00
_cell_angle_beta 90.00
_cell_angle_gamma 120.00
_symmetry_space_group_name_H-M 'R -3 m'
_symmetry_Int_Tables_number 166
_symmetry_space_group_name_Hall '-R 3 2"'
loop_
_atom_site_label
_atom_site_type_symbol
_atom_site_fract_x
_atom_site_fract_y
_atom_site_fract_z
_atom_site_occupancy
Pu1 Pu 0.0000 0.0000 0.0000 1
Fe1 Fe 0.0000 0.0000 0.2335 1
Si1 Si 0.0000 0.0000 0.1252 1
Si2 Si 0.0000 0.0000 0.4031 1
Os1 Os 0.0000 0.0000 0.5000 1

---

# 7
# Tl2AgAs PBE-GGA relaxed
# Excess energy over the best structure of this formula in the dataset (meV per atom): 102
# DFT total energy (eV/atom): -2.944
# D(E_F) (states/eV/atom): 0.287
# Energy of formation from the pure elements (eV/f.u.): 0.5
# Density (g/cm³): 9.4
data_Tl2AgAs
_cell_length_a 3.333
_cell_length_b 4.521
_cell_length_c 7.071
_cell_angle_alpha 90.00
_cell_angle_beta 101.91
_cell_angle_gamma 90.00
_symmetry_space_group_name_H-M 'P 1 m 1'
_symmetry_Int_Tables_number 6
loop_
_symmetry_equiv_pos_as_xyz
'x,y,z'
'x,-y,z'
loop_
_atom_site_label
_atom_site_type_symbol
_atom_site_fract_x
_atom_site_fract_y
_atom_site_fract_z
_atom_site_occupancy
Tl1 Tl 0.000 0.000 0.000 1
Tl2 Tl 0.303 0.500 0.652 1
Ag1 Ag 0.589 0.500 0.210 1
As1 As 0.689 0.000 0.409 1

---

# 8
# BeAlGe PBE-GGA relaxed
# DFT total energy (eV/atom): -3.871
# D(E_F) (states/eV/atom): 0.376
# Energy of formation from the pure elements (eV/f.u.): 0.5
# Density (g/cm³): 3.9
data_BeAlGe
_cell_length_a 5.686
_cell_length_b 5.686
_cell_length_c 5.686
_cell_angle_alpha 90.00
_cell_angle_beta 90.00
_cell_angle_gamma 90.00
_symmetry_space_group_name_H-M 'F -4 3 m'
_symmetry_Int_Tables_number 216
_symmetry_space_group_name_Hall 'F -4 2 3'
loop_
_atom_site_label
_atom_site_type_symbol
_atom_site_fract_x
_atom_site_fract_y
_atom_site_fract_z
_atom_site_occupancy
Be1 Be 0.000 0.000 0.000 1
Al1 Al 0.250 0.250 0.750 1
Ge1 Ge 0.250 0.250 0.250 1